[1]
The following is a DFT calculation (PBE-GGA) of an optimized crystal structure of La5NdPd2.

Output
Total moment = 0.0 μB/f.u.
E_form = -333.6 meV/atom
Theoretical density = 7.016 Mg/m³
Density of states at the Fermi level = 19.21 states/eV/cell

Cell: 4.041 6.720 19.221 Å, 90.00 90.00 107.50°
Element x y z (fractional)
Pd  0.784  0.568  0.368
Pd  0.784  0.568  0.132
Pd  0.216  0.432  0.868
Pd  0.216  0.432  0.632
La  0.067  0.133  0.118
La  0.933  0.867  0.618
La  0.646  0.291  0.250
La  0.933  0.867  0.882
La  0.359  0.717  0.037
La  0.641  0.283  0.537
La  0.359  0.717  0.463
La  0.641  0.283  0.963
La  0.067  0.133  0.382
La  0.354  0.709  0.750
Nd  0.625  0.250  0.750
Nd  0.375  0.750  0.250

---

[2]
The following is a DFT calculation (PBE-GGA) of an optimized crystal structure of NaTbIn2.

Output
Energy above the lowest structure with this stoichiometry = 0.000 eV/atom
Total moment = 0.0 μB/f.u.
E_form = -310.1 meV/atom
Theoretical density = 6.486 Mg/m³
Density of states at the Fermi level = 1.74 states/eV/cell

Cell: 3.877 5.213 5.213 Å, 90.00 90.00 90.00°
Element x y z (fractional)
Na  0.500  0.000  0.000
In  0.000  0.500  0.000
In  0.000  0.000  0.500
Tb  0.500  0.500  0.500

---

[3]
The following is a DFT calculation (PBE-GGA) of an optimized crystal structure of BaAsF3.

Output
Energy above the lowest structure with this stoichiometry = 0.128 eV/atom
Total moment = 2.0 μB/f.u.
Formation energy (no corrections) = -9.29 eV/f.u.
Theoretical density = 3.394 Mg/m³
Density of states at the Fermi level = 9.77 states/eV/cell

Cell: 5.088 5.088 5.088 Å, 90.00 90.00 90.00°
Element x y z (fractional)
F  0.500  0.000  0.000
F  0.000  0.500  0.000
F  0.000  0.000  0.500
As  0.500  0.500  0.500
Ba  0.000  0.000  0.000

---

Question: What is the total moment in the first record?
Answer: 0.0 μB/f.u.

---

What did the third record say?
The following is a DFT calculation (PBE-GGA) of an optimized crystal structure of BaAsF3.

Output
Energy above the lowest structure with this stoichiometry = 0.128 eV/atom
Total moment = 2.0 μB/f.u.
Formation energy (no corrections) = -9.29 eV/f.u.
Theoretical density = 3.394 Mg/m³
Density of states at the Fermi level = 9.77 states/eV/cell

Cell: 5.088 5.088 5.088 Å, 90.00 90.00 90.00°
Element x y z (fractional)
F  0.500  0.000  0.000
F  0.000  0.500  0.000
F  0.000  0.000  0.500
As  0.500  0.500  0.500
Ba  0.000  0.000  0.000